TbZrH4 | PBE-GGA | relaxed

a b c (Å): 3.4883 3.4883 5.1178
angles (deg): 90.00 90.00 90.00
With the nearest neighbours (Å) after each atom.
Fractional positions:
Tb  0.0000  0.0000  0.0000  8 H 2.23
Zr  0.5000  0.5000  0.5000  8 H 2.10
H  0.0000  0.5000  0.2728  2 Zr 2.10, 2 Tb 2.23, 1 H 2.33
H  0.0000  0.5000  0.7272  2 Zr 2.10, 2 Tb 2.23, 1 H 2.33
H  0.5000  0.0000  0.2728  2 Zr 2.10, 2 Tb 2.23, 1 H 2.33
H  0.5000  0.0000  0.7272  2 Zr 2.10, 2 Tb 2.23, 1 H 2.33

Values from the calculation:
Uncorrected energy (hartree per atom): -0.186
Symmetry: P4/mmm (123)
Crystal system: tetragonal
D(E_F) (states/eV per cell): 1.77